Record 1
# NaCd

Crystalline NaCd at its relaxed geometry (PBE, the Alexandria database).

Cell: 7.065 7.065 7.065 Å, 90.00 90.00 90.00°
Fractional positions:
Na1 0.000 0.000 0.000
Na2 0.000 0.500 0.500
Na3 0.500 0.000 0.500
Na4 0.500 0.500 0.000
Cd1 0.250 0.250 0.750
Cd2 0.250 0.750 0.250
Cd3 0.750 0.250 0.250
Cd4 0.750 0.750 0.750

## Properties
The space group is F-43m, No. 216. The density of states at the Fermi level is 0.949 states/eV/atom. As for the total magnetic moment: 0.00 μB per formula unit. The formation energy is 0.360 eV/atom.

Record 2
# Te5Au12Se3

Crystalline Te5Au12Se3 at its relaxed geometry (PBE, the Alexandria database).

Cell: 13.829 13.829 13.829 Å, 109.47 109.47 109.47°
Fractional positions:
Te1 0.000 0.000 0.000
Te2 0.000 0.000 0.500
Te3 0.000 0.500 0.000
Te4 0.000 0.500 0.500
Te5 0.125 0.750 0.875
Te6 0.125 0.875 0.250
Te7 0.250 0.125 0.875
Te8 0.250 0.625 0.375
Te9 0.375 0.250 0.625
Te10 0.375 0.625 0.750
Te11 0.500 0.000 0.000
Te12 0.500 0.000 0.500
Te13 0.500 0.500 0.000
Te14 0.500 0.500 0.500
Te15 0.625 0.375 0.250
Te16 0.625 0.750 0.375
Te17 0.750 0.375 0.625
Te18 0.750 0.875 0.125
Te19 0.875 0.125 0.750
Te20 0.875 0.250 0.125
Au1 0.064 0.631 0.389
Au2 0.064 0.933 0.674
Au3 0.067 0.241 0.131
Au4 0.067 0.326 0.936
Au5 0.111 0.741 0.674
Au6 0.111 0.869 0.436
Au7 0.131 0.067 0.241
Au8 0.131 0.564 0.889
Au9 0.174 0.241 0.611
Au10 0.174 0.433 0.564
Au11 0.241 0.131 0.067
Au12 0.241 0.611 0.174
Au13 0.259 0.326 0.889
Au14 0.259 0.433 0.369
Au15 0.326 0.889 0.259
Au16 0.326 0.936 0.067
Au17 0.369 0.259 0.433
Au18 0.369 0.611 0.936
Au19 0.389 0.064 0.631
Au20 0.389 0.826 0.759
Au21 0.433 0.369 0.259
Au22 0.433 0.564 0.174
Au23 0.436 0.111 0.869
Au24 0.436 0.826 0.567
Au25 0.564 0.174 0.433
Au26 0.564 0.889 0.131
Au27 0.567 0.436 0.826
Au28 0.567 0.631 0.741
Au29 0.611 0.174 0.241
Au30 0.611 0.936 0.369
Au31 0.631 0.389 0.064
Au32 0.631 0.741 0.567
Au33 0.674 0.064 0.933
Au34 0.674 0.111 0.741
Au35 0.741 0.567 0.631
Au36 0.741 0.674 0.111
Au37 0.759 0.389 0.826
Au38 0.759 0.869 0.933
Au39 0.826 0.567 0.436
Au40 0.826 0.759 0.389
Au41 0.869 0.436 0.111
Au42 0.869 0.933 0.759
Au43 0.889 0.131 0.564
Au44 0.889 0.259 0.326
Au45 0.933 0.674 0.064
Au46 0.933 0.759 0.869
Au47 0.936 0.067 0.326
Au48 0.936 0.369 0.611
Se1 0.125 0.250 0.375
Se2 0.125 0.375 0.750
Se3 0.250 0.375 0.125
Se4 0.250 0.875 0.625
Se5 0.375 0.125 0.250
Se6 0.375 0.750 0.125
Se7 0.625 0.250 0.875
Se8 0.625 0.875 0.750
Se9 0.750 0.125 0.375
Se10 0.750 0.625 0.875
Se11 0.875 0.625 0.250
Se12 0.875 0.750 0.625

## Properties
The space group is Ia-3d, No. 230. The uncorrected formation energy comes out at 99 meV/atom. The density of states at the Fermi level is 0.617 states/eV/atom. As for the total magnetic moment: 0.00 μB per formula unit.

Record 3
# Li2PmIn2Ag2

Crystalline Li2PmIn2Ag2 at its relaxed geometry (PBE, the Alexandria database).

Cell: 8.437 4.855 7.725 Å, 90.00 111.27 90.00°
Fractional positions:
Li1 0.150 0.000 0.448
Li2 0.350 0.500 0.552
Li3 0.650 0.500 0.448
Li4 0.850 0.000 0.552
Pm1 0.000 0.000 0.000
Pm2 0.500 0.500 0.000
In1 0.073 0.500 0.721
In2 0.427 0.000 0.279
In3 0.573 0.000 0.721
In4 0.927 0.500 0.279
Ag1 0.232 0.500 0.195
Ag2 0.268 0.000 0.805
Ag3 0.732 0.000 0.195
Ag4 0.768 0.500 0.805

## Properties
The space group is C2/m, No. 12. The density of states at the Fermi level is 0.327 states/eV/atom. As for the total magnetic moment: 0.00 μB per formula unit. The formation energy is -0.338 eV/atom.

Record 4
# SnTePd2

Crystalline SnTePd2 at its relaxed geometry (PBE, the Alexandria database).

Cell: 4.446 4.446 5.554 Å, 90.00 90.00 120.00°
Fractional positions:
Sn1 0.000 0.000 0.000
Te1 0.333 0.667 0.572
Pd1 0.333 0.667 0.096
Pd2 0.667 0.333 0.790

## Properties
The space group is P3m1, No. 156. The uncorrected formation energy comes out at -332 meV/atom. The density of states at the Fermi level is 0.358 states/eV/atom. As for the total magnetic moment: 0.00 μB per formula unit. Its energy above the most stable polymorph in this dataset is 124 meV per atom.

Record 5
# LaNiPt

Crystalline LaNiPt at its relaxed geometry (PBE, the Alexandria database).

Cell: 6.994 6.732 4.558 Å, 73.76 67.52 38.73°
Fractional positions:
La1 0.163 0.163 0.837
La2 0.837 0.837 0.163
Ni1 0.393 0.393 0.607
Ni2 0.607 0.607 0.393
Pt1 0.000 0.000 0.500
Pt2 0.500 0.500 0.000

## Properties
The space group is Fmmm, No. 69. The density of states at the Fermi level is 0.435 states/eV/atom. As for the total magnetic moment: 0.00 μB per formula unit. The formation energy is -0.628 eV/atom.

Record 6
# Sr2TcIr

Crystalline Sr2TcIr at its relaxed geometry (PBE, the Alexandria database).

Cell: 3.339 3.339 29.033 Å, 90.00 90.00 120.00°
Fractional positions:
Sr1 0.000 0.000 0.246
Sr2 0.000 0.000 0.754
Sr3 0.333 0.667 0.420
Sr4 0.333 0.667 0.913
Sr5 0.667 0.333 0.087
Sr6 0.667 0.333 0.580
Tc1 0.000 0.000 0.000
Tc2 0.333 0.667 0.667
Tc3 0.667 0.333 0.333
Ir1 0.000 0.000 0.500
Ir2 0.333 0.667 0.167
Ir3 0.667 0.333 0.833

## Properties
The space group is R-3m, No. 166. The density of states at the Fermi level is 1.033 states/eV/atom. As for the total magnetic moment: 1.36 μB per formula unit. The formation energy is 0.905 eV/atom. Its energy above the most stable polymorph in this dataset is 753 meV per atom.